# Rb3MoIr

A relaxed Rb3MoIr crystal (PBE-GGA, Alexandria). Values from VASP.

```
&SYSTEM
  ibrav = 0, nat = 5, ntyp = 3
/
ATOMIC_SPECIES
Rb 85.47 Rb.upf
Mo 95.94 Mo.upf
Ir 192.22 Ir.upf
CELL_PARAMETERS angstrom
-1.294 6.185 -0.900
-4.045 -0.128 4.935
4.764 1.571 3.946
ATOMIC_POSITIONS crystal
Rb 0.000 0.000 0.500
Rb 0.000 0.500 0.000
Rb 0.500 0.000 0.000
Mo 0.500 0.500 0.500
Ir 0.000 0.000 0.000
```

Properties
D(E_F) = 3.9 states/eV per cell
calculated density = 3.5 g/cm3
excess energy over the best structure of this formula in the dataset = 0 meV/atom
total energy = -2.898 eV per atom
ΔH_f (0 K) = 1.62 eV per atom